# SrPbO2

A relaxed structure of SrPbO2 (PBE, the Alexandria database).

Output
The calculation puts the size of the total moment at 0.0 μB per formula unit. The density comes out at 7.5 g cm⁻³. The value obtained for the total energy is -5.596 eV per atom. The formation energy without anion corrections comes out at -7.1 eV/f.u.

Cell: 3.631 3.631 18.895 Å, 90.00 90.00 120.00°
Fractional coordinates of all 12 atoms:
Sr 0.000 0.000 0.000
Sr 0.333 0.667 0.667
Sr 0.667 0.333 0.333
Pb 0.000 0.000 0.830
Pb 0.333 0.667 0.496
Pb 0.667 0.333 0.163
O 0.000 0.000 0.410
O 0.000 0.000 0.586
O 0.333 0.667 0.077
O 0.333 0.667 0.253
O 0.667 0.333 0.743
O 0.667 0.333 0.920